Density functional theory data (SCAN) for a crystal of Sc2H2Ru relaxed with PBEsol.

The structure belongs to space group I4/mmm (No. 139); the cell edges are 3.181, 3.181 and 11.467 Å and the angles 90.00°, 90.00° and 90.00°. The asymmetric unit holds Sc at (0.000, 0.000, 0.138), H at (0.000, 0.500, 0.250) and Ru at (0.000, 0.000, 0.500).

The value obtained for the spin magnetization is 0.00 Bohr magnetons per cell. The calculation puts the electronic total energy at -147.2 eV/cell.